Entry 1:
An optimized crystal structure of AcSm2Si, computed with GGA-PBE.

Calculated values
Energy relative to the elements, uncorrected ... -217 meV per atom
Energy relative to the lowest polymorph listed for this composition ... 0 meV/atom
ρ ... 6.65 g cm⁻³

Lattice parameters (Å, degrees): 9.725 9.725 9.725 24.47 24.47 24.47
Sites, in units of the cell vectors:
Ac 0.000 0.000 0.000
Sm 0.555 0.555 0.555
Sm 0.773 0.773 0.773
Si 0.164 0.164 0.164

=====

Entry 2:
An optimized crystal structure of Ac2SmSi4, computed with GGA-PBE.

Calculated values
Energy relative to the elements, uncorrected ... -559 meV per atom
ρ ... 6.88 g cm⁻³

Lattice parameters (Å, degrees): 9.876 9.876 9.876 155.98 153.81 35.83
Sites, in units of the cell vectors:
Ac 0.183 0.183 0.000
Ac 0.817 0.817 0.000
Sm 0.000 0.500 0.500
Si 0.369 0.369 0.000
Si 0.438 0.938 0.500
Si 0.562 0.062 0.500
Si 0.631 0.631 0.000

=====

Entry 3:
An optimized crystal structure of Ac2SmSi6, computed with GGA-PBE.

Calculated values
Energy relative to the elements, uncorrected ... -524 meV per atom
ρ ... 6.34 g cm⁻³

Lattice parameters (Å, degrees): 7.294 7.294 4.391 90.00 90.00 120.00
Sites, in units of the cell vectors:
Ac 0.333 0.667 0.000
Ac 0.667 0.333 0.000
Sm 0.000 0.000 0.000
Si 0.000 0.327 0.500
Si 0.000 0.673 0.500
Si 0.327 0.000 0.500
Si 0.327 0.327 0.500
Si 0.673 0.000 0.500
Si 0.673 0.673 0.500